[1]
A geometry-optimized PuCuHgPd structure, computed with GGA-PBE.

Cell lengths 4.8299, 4.8299, 4.8299 Å; angles 60.00, 60.00, 60.00 degrees
Last column: nearest neighbours and their distance in Å.
Positions (direct):
Pu1 0.0000 0.0000 0.0000  4 Pd 2.96, 4 Cu 2.96
Cu1 0.2500 0.2500 0.2500  4 Hg 2.96, 4 Pu 2.96
Hg1 0.5000 0.5000 0.5000  4 Cu 2.96, 4 Pd 2.96
Pd1 0.7500 0.7500 0.7500  4 Hg 2.96, 4 Pu 2.96

## Properties
Theoretical density ... 12.8 g cm⁻³
DFT formation energy ... -11.3 kJ/mol of atoms
DOS at the Fermi energy ... 3.67 states/eV/atom
Energy ... -6.098 eV per atom
Space group ... F-43m, No. 216
Magnetization ... 1.370 μB/atom

[2]
A geometry-optimized Pu2Cu2HgPd5 structure, computed with GGA-PBE.

Cell lengths 9.5314, 9.5314, 3.9536 Å; angles 90.00, 90.00, 90.00 degrees
Last column: nearest neighbours and their distance in Å.
Positions (direct):
Pu1 0.1760 0.3240 0.0000  3 Cu 2.75-2.87
Pu2 0.3240 0.8240 0.0000  3 Cu 2.75-2.87
Pu3 0.6760 0.1760 0.0000  3 Cu 2.75-2.87
Pu4 0.8240 0.6760 0.0000  3 Cu 2.75-2.87
Cu1 0.1204 0.6204 0.0000  6 Pd 2.56-2.61, 1 Pu 2.75
Cu2 0.3796 0.1204 0.0000  6 Pd 2.56-2.61, 1 Pu 2.75
Cu3 0.6204 0.8796 0.0000  6 Pd 2.56-2.61, 1 Pu 2.75
Cu4 0.8796 0.3796 0.0000  6 Pd 2.56-2.61, 1 Pu 2.75
Hg1 0.0000 0.0000 0.0000  8 Pd 2.88
Hg2 0.5000 0.5000 0.0000  8 Pd 2.88
Pd1 0.0000 0.5000 0.5000  4 Cu 2.56, 4 Pd 2.86
Pd2 0.0698 0.7915 0.5000  2 Cu 2.61, 1 Pd 2.86, 2 Hg 2.88
Pd3 0.2085 0.0698 0.5000  2 Cu 2.61, 1 Pd 2.86, 2 Hg 2.88
Pd4 0.2915 0.5698 0.5000  2 Cu 2.61, 1 Pd 2.86, 2 Hg 2.88
Pd5 0.4302 0.2915 0.5000  2 Cu 2.61, 1 Pd 2.86, 2 Hg 2.88
Pd6 0.5000 0.0000 0.5000  4 Cu 2.56, 4 Pd 2.86
Pd7 0.5698 0.7085 0.5000  2 Cu 2.61, 1 Pd 2.86, 2 Hg 2.88
Pd8 0.7085 0.4302 0.5000  2 Cu 2.61, 1 Pd 2.86, 2 Hg 2.88
Pd9 0.7915 0.9302 0.5000  2 Cu 2.61, 1 Pd 2.86, 2 Hg 2.88
Pd10 0.9302 0.2085 0.5000  2 Cu 2.61, 1 Pd 2.86, 2 Hg 2.88

## Properties
Theoretical density ... 12.5 g cm⁻³
DFT formation energy ... -35.0 kJ/mol of atoms
DOS at the Fermi energy ... 3.57 states/eV/atom
Energy ... -6.675 eV per atom
Space group ... P4/mbm, No. 127
Magnetization ... 1.036 μB/atom

[3]
A geometry-optimized RbCuHg2Pd structure, computed with GGA-PBE.

Cell lengths 5.3755, 5.3755, 5.0271 Å; angles 90.00, 90.00, 90.00 degrees
Last column: nearest neighbours and their distance in Å.
Positions (direct):
Rb1 0.0000 0.0000 0.0000  8 Hg 3.68, 4 Cu 3.80
Cu1 0.5000 0.5000 0.0000  2 Pd 2.51
Hg1 0.0000 0.5000 0.5000  2 Pd 2.69
Hg2 0.5000 0.0000 0.5000  2 Pd 2.69
Pd1 0.5000 0.5000 0.5000  2 Cu 2.51, 4 Hg 2.69

## Properties
Theoretical density ... 7.5 g cm⁻³
DFT formation energy ... -2.2 kJ/mol of atoms
DOS at the Fermi energy ... 0.19 states/eV/atom
Energy ... -2.194 eV per atom
Space group ... P4/mmm, No. 123
Magnetization ... 0.000 μB/atom

> Which of these has the highest DFT formation energy?

RbCuHg2Pd

> What is the DOS at the Fermi energy in the first record?

3.67 states/eV/atom

> The lowest magnetization belongs to which entry?

RbCuHg2Pd